(1)
A plane-wave DFT calculation with SCAN was carried out for MgHgRu2Pt at its PBEsol-relaxed geometry.

Structure (POSCAR):
```
MgHgRu2Pt
1.0
-0.475 2.721 -4.049
-3.406 -3.096 -1.682
-3.528 2.679 2.214
Pt Ru Hg Mg
1 2 1 1
direct
0.000 0.000 0.500 Pt
0.000 0.500 0.000 Ru
0.500 0.000 0.000 Ru
0.000 0.000 0.000 Hg
0.500 0.500 0.500 Mg
```

Properties
E_form: 1.72 eV per atom

---

(2)
A plane-wave DFT calculation with SCAN was carried out for KFe2Se at its PBEsol-relaxed geometry.

Structure (POSCAR):
```
KFe2Se
1.0
-0.497 -2.783 0.595
2.231 0.730 5.275
-5.348 2.198 -1.202
K Se Fe
1 1 2
direct
0.512 0.512 0.023 K
0.312 0.812 0.625 Se
0.998 0.998 0.996 Fe
0.678 0.178 0.355 Fe
```

Properties
ΔE_f (raw): 0.380 eV per atom

---

(3)
A plane-wave DFT calculation with SCAN was carried out for LaMg2Cd at its PBEsol-relaxed geometry.

Structure (POSCAR):
```
LaMg2Cd
1.0
5.209 0.000 0.000
2.605 4.511 0.000
2.605 1.504 4.253
Cd Mg La
1 2 1
direct
0.500 0.500 0.500 Cd
0.750 0.750 0.750 Mg
0.000 0.000 0.000 Mg
0.250 0.250 0.250 La
```

Properties
E_form: -0.30 eV per atom

---

(4)
A plane-wave DFT calculation with SCAN was carried out for NaTl2Sb2 at its PBEsol-relaxed geometry.

Structure (POSCAR):
```
NaTl2Sb2
1.0
4.742 0.000 0.000
0.000 4.742 0.000
-2.371 -2.371 7.068
Na Sb Tl
1 2 2
direct
0.000 0.000 0.000 Na
0.601 0.601 0.202 Sb
0.399 0.399 0.798 Sb
0.750 0.250 0.500 Tl
0.250 0.750 0.500 Tl
```

Properties
energy above the most stable polymorph in this dataset: 0.021 eV/atom
ΔE_f (raw): -0.056 eV per atom

---

(5)
A plane-wave DFT calculation with SCAN was carried out for Ca2YAg at its PBEsol-relaxed geometry.

Structure (POSCAR):
```
Ca2YAg
1.0
4.611 0.000 0.000
0.000 4.611 0.000
-2.305 -2.305 5.331
Y Ag Ca
1 1 2
direct
0.500 0.500 0.000 Y
0.000 0.000 0.000 Ag
0.250 0.750 0.500 Ca
0.750 0.250 0.500 Ca
```

Properties
energy above the most stable polymorph in this dataset: 0.244 eV/atom
E_form: 0.09 eV per atom

---

(6)
A plane-wave DFT calculation with SCAN was carried out for LuCd3 at its PBEsol-relaxed geometry.

Structure (POSCAR):
```
LuCd3
1.0
4.723 0.000 0.000
0.000 6.288 -0.020
0.000 -2.355 5.831
Cd Lu
6 2
direct
0.250 0.178 0.822 Cd
0.250 0.689 0.881 Cd
0.750 0.881 0.689 Cd
0.250 0.119 0.311 Cd
0.750 0.311 0.119 Cd
0.750 0.822 0.178 Cd
0.750 0.370 0.630 Lu
0.250 0.630 0.370 Lu
```

Properties
E_form: -0.30 eV per atom

---

(7)
A plane-wave DFT calculation with SCAN was carried out for TaAl2Rh at its PBEsol-relaxed geometry.

Structure (POSCAR):
```
TaAl2Rh
1.0
-1.548 1.536 -1.754
-4.022 -2.066 1.742
1.194 4.005 2.453
Rh Al Ta
1 2 1
direct
0.500 0.000 0.000 Rh
0.000 0.000 0.500 Al
0.000 0.500 0.000 Al
0.500 0.500 0.500 Ta
```

Properties
E_form: -0.44 eV per atom

---

(8)
A plane-wave DFT calculation with SCAN was carried out for InHPd3 at its PBEsol-relaxed geometry.

Structure (POSCAR):
```
InHPd3
1.0
4.010 0.000 0.000
0.000 4.010 0.000
0.000 0.000 4.010
In Pd H
1 3 1
direct
0.500 0.500 0.500 In
0.000 0.500 0.000 Pd
0.500 0.000 0.000 Pd
0.000 0.000 0.500 Pd
0.000 0.000 0.000 H
```

Properties
energy above the most stable polymorph in this dataset: 0.000 eV/atom

---

(9)
A plane-wave DFT calculation with SCAN was carried out for NaReRh3 at its PBEsol-relaxed geometry.

Structure (POSCAR):
```
NaReRh3
1.0
-2.783 -3.599 -1.070
3.711 -2.433 -1.468
0.574 -1.723 4.306
Rh Na Re
3 1 1
direct
0.000 0.500 0.000 Rh
0.500 0.000 0.000 Rh
0.000 0.000 0.500 Rh
0.500 0.500 0.500 Na
0.000 0.000 0.000 Re
```

Properties
E_form: 0.88 eV per atom

---

(10)
A plane-wave DFT calculation with SCAN was carried out for Zn2RuPb at its PBEsol-relaxed geometry.

Structure (POSCAR):
```
Zn2RuPb
1.0
3.244 0.000 -0.104
0.000 4.075 0.000
-1.333 0.000 5.209
Ru Zn Pb
1 2 1
direct
0.063 0.500 0.749 Ru
0.201 0.000 0.034 Zn
0.761 0.500 0.164 Zn
0.475 0.000 0.553 Pb
```

Properties
E_form: 0.23 eV per atom

---

(11)
A plane-wave DFT calculation with SCAN was carried out for Sm2Al3Ge4 at its PBEsol-relaxed geometry.

Structure (POSCAR):
```
Sm2Al3Ge4
1.0
5.910 0.000 0.000
0.000 7.930 0.000
-2.955 0.000 7.385
Ge Sm Al
8 4 6
direct
0.816 0.948 0.631 Ge
0.684 0.448 0.369 Ge
0.184 0.052 0.369 Ge
0.704 0.250 0.909 Ge
0.296 0.750 0.091 Ge
0.316 0.552 0.631 Ge
0.796 0.750 0.091 Ge
0.204 0.250 0.909 Ge
0.615 0.080 0.229 Sm
0.885 0.580 0.771 Sm
0.115 0.420 0.229 Sm
0.385 0.920 0.771 Sm
0.034 0.250 0.567 Al
0.534 0.250 0.567 Al
0.466 0.750 0.433 Al
0.500 0.500 0.000 Al
0.000 0.000 0.000 Al
0.966 0.750 0.433 Al
```

Properties
E_form: -0.51 eV per atom

---

(12)
A plane-wave DFT calculation with SCAN was carried out for CoGe2 at its PBEsol-relaxed geometry.

Structure (POSCAR):
```
CoGe2
1.0
-3.700 0.506 -4.149
2.113 -5.552 1.194
-4.172 -0.809 3.622
Ge Co
8 4
direct
0.841 0.000 0.841 Ge
0.502 0.500 0.250 Ge
0.998 0.500 0.750 Ge
0.498 0.500 0.750 Ge
0.659 0.000 0.341 Ge
0.159 0.000 0.159 Ge
0.341 0.000 0.659 Ge
0.002 0.500 0.250 Ge
0.117 0.233 0.500 Co
0.383 0.767 0.000 Co
0.883 0.767 0.500 Co
0.617 0.233 0.000 Co
```

Properties
E_form: -0.11 eV per atom

---

no.,energy (eV per atom),DOS at the Fermi energy (states/eV/cell)
1,-40.88,4.189
2,-15.79,1.850
3,-21.17,1.754
4,-44.75,3.011
5,-19.55,4.236
6,-36.95,3.050
7,-29.40,2.322
8,-27.49,0.508
9,-34.44,3.028
10,-34.18,1.549
11,-21.46,5.147
12,-18.60,4.232